[1]
VASP calculation (PBEsol) on TeMo3H after structural relaxation.

Calculated values
Magnetic moment = 0.00 Bohr magnetons per cell
E = -5.651 eV/atom
SG = Pm-3m

a = 4.865 Å, b = 4.865 Å, c = 4.865 Å
α = 90.00°, β = 90.00°, γ = 90.00°
Fractional coordinates of all 5 atoms:
1 H 0.500 0.500 0.500
2 Mo 0.000 0.500 0.000
3 Mo 0.000 0.000 0.500
4 Mo 0.500 0.000 0.000
5 Te 0.000 0.000 0.000

---

[2]
VASP calculation (PBEsol) on Li17In12 after structural relaxation.

Calculated values
Magnetic moment = 0.00 Bohr magnetons per cell
Formation energy from the elements = -0.255 eV per atom
SG = I-43m

a = 9.103 Å, b = 9.103 Å, c = 9.103 Å
α = 109.47°, β = 109.47°, γ = 109.47°
Fractional coordinates of all 29 atoms:
1 In 0.193 0.390 0.390
2 In 0.807 0.196 0.196
3 In 0.000 0.804 0.610
4 In 0.000 0.610 0.804
5 In 0.390 0.193 0.390
6 In 0.196 0.807 0.196
7 In 0.610 0.000 0.804
8 In 0.804 0.000 0.610
9 In 0.390 0.390 0.193
10 In 0.196 0.196 0.807
11 In 0.804 0.610 0.000
12 In 0.610 0.804 0.000
13 Li 0.725 0.416 0.416
14 Li 0.275 0.691 0.691
15 Li 0.000 0.309 0.584
16 Li 0.000 0.584 0.309
17 Li 0.416 0.725 0.416
18 Li 0.691 0.275 0.691
19 Li 0.584 0.000 0.309
20 Li 0.309 0.000 0.584
21 Li 0.416 0.416 0.725
22 Li 0.691 0.691 0.275
23 Li 0.309 0.584 0.000
24 Li 0.584 0.309 0.000
25 Li 0.651 0.651 0.651
26 Li 0.349 0.000 0.000
27 Li 0.000 0.000 0.349
28 Li 0.000 0.349 0.000
29 Li 0.000 0.000 0.000

---

[3]
VASP calculation (PBEsol) on Ni2PbAu after structural relaxation.

Calculated values
Magnetic moment = 0.00 Bohr magnetons per cell
Formation energy from the elements = 0.207 eV per atom
SG = I-4m2

a = 3.800 Å, b = 3.800 Å, c = 4.992 Å
α = 112.37°, β = 112.37°, γ = 90.00°
Fractional coordinates of all 4 atoms:
1 Au 0.250 0.750 0.500
2 Ni 0.000 0.000 0.000
3 Ni 0.750 0.250 0.500
4 Pb 0.500 0.500 0.000

---

[4]
VASP calculation (PBEsol) on KCuCl2 after structural relaxation.

Calculated values
E_form (uncorrected) = -1.033 eV/atom
Polymorph energy (0 for the lowest one) = 0.35 eV per formula unit
Magnetic moment = 0.00 Bohr magnetons per cell
SG = P2/m

a = 3.531 Å, b = 3.926 Å, c = 6.740 Å
α = 88.67°, β = 90.00°, γ = 90.00°
Fractional coordinates of all 4 atoms:
1 K 0.500 0.500 0.000
2 Cu 0.500 0.000 0.500
3 Cl 0.000 0.011 0.736
4 Cl 0.000 0.989 0.264

---

[5]
VASP calculation (PBEsol) on GaRhN2F after structural relaxation.

Calculated values
E_form (uncorrected) = 0.375 eV/atom
Magnetic moment = 0.00 Bohr magnetons per cell
SG = P4/mmm

a = 3.771 Å, b = 3.771 Å, c = 4.425 Å
α = 90.00°, β = 90.00°, γ = 90.00°
Fractional coordinates of all 5 atoms:
1 N 0.000 0.500 0.000
2 N 0.500 0.000 0.000
3 Rh 0.000 0.000 0.000
4 Ga 0.500 0.500 0.500
5 F 0.000 0.000 0.500

---

[6]
VASP calculation (PBEsol) on CrPN3 after structural relaxation.

Calculated values
E_form (uncorrected) = 0.506 eV/atom
Magnetic moment = 2.26 Bohr magnetons per cell
SG = Pm-3m

a = 3.452 Å, b = 3.452 Å, c = 3.452 Å
α = 90.00°, β = 90.00°, γ = 90.00°
Each line ends with the local moment (μB).
Fractional coordinates of all 5 atoms:
1 Cr 0.500 0.500 0.500  3.06
2 N 0.000 0.500 0.000  -0.27
3 N 0.000 0.000 0.500  -0.27
4 N 0.500 0.000 0.000  -0.27
5 P 0.000 0.000 0.000  0.04

---

[7]
VASP calculation (PBEsol) on ZnSi2Br after structural relaxation.

Calculated values
E_form (uncorrected) = 0.427 eV/atom
Polymorph energy (0 for the lowest one) = 1.54 eV per formula unit
Magnetic moment = 0.00 Bohr magnetons per cell
SG = Immm

a = 2.986 Å, b = 4.631 Å, c = 5.908 Å
α = 113.08°, β = 104.64°, γ = 90.00°
Fractional coordinates of all 4 atoms:
1 Br 0.000 0.500 0.000
2 Si 0.791 0.791 0.583
3 Si 0.209 0.209 0.417
4 Zn 0.500 0.000 0.000

---

[8]
VASP calculation (PBEsol) on KMnAs2F after structural relaxation.

Calculated values
E_form (uncorrected) = -0.419 eV/atom
Magnetic moment = 1.74 Bohr magnetons per cell
SG = P4/mmm

a = 4.338 Å, b = 4.338 Å, c = 7.113 Å
α = 90.00°, β = 90.00°, γ = 90.00°
Each line ends with the local moment (μB).
Fractional coordinates of all 5 atoms:
1 As 0.000 0.500 0.000  -0.05
2 As 0.500 0.000 0.000  -0.05
3 Mn 0.000 0.000 0.000  1.64
4 K 0.000 0.000 0.500  0.01
5 F 0.500 0.500 0.500  0.01

---

[9]
VASP calculation (PBEsol) on CaCoTe after structural relaxation.

Calculated values
E_form (uncorrected) = -0.061 eV/atom
Polymorph energy (0 for the lowest one) = 1.55 eV per formula unit
Magnetic moment = 1.00 Bohr magnetons per cell
SG = F-43m

a = 4.603 Å, b = 4.603 Å, c = 4.603 Å
α = 60.00°, β = 60.00°, γ = 60.00°
Each line ends with the local moment (μB).
Fractional coordinates of all 3 atoms:
1 Ca 0.000 0.000 0.000  -0.04
2 Te 0.250 0.250 0.250  0.02
3 Co 0.500 0.500 0.500  1.17

---

[10]
VASP calculation (PBEsol) on TlNiOs2 after structural relaxation.

Calculated values
Polymorph energy (0 for the lowest one) = 0.33 eV per formula unit
Magnetic moment = 0.00 Bohr magnetons per cell
Formation energy from the elements = 0.876 eV per atom
SG = P4/mmm

a = 3.790 Å, b = 3.790 Å, c = 4.156 Å
α = 90.00°, β = 90.00°, γ = 90.00°
Fractional coordinates of all 4 atoms:
1 Ni 0.000 0.000 0.500
2 Os 0.000 0.500 0.000
3 Os 0.500 0.000 0.000
4 Tl 0.500 0.500 0.500

---

[11]
VASP calculation (PBEsol) on NaBe2SbS after structural relaxation.

Calculated values
E_form (uncorrected) = 0.634 eV/atom
Magnetic moment = 0.00 Bohr magnetons per cell
SG = P4/mmm

a = 4.489 Å, b = 4.489 Å, c = 5.566 Å
α = 90.00°, β = 90.00°, γ = 90.00°
Fractional coordinates of all 5 atoms:
1 Sb 0.000 0.000 0.000
2 S 0.500 0.500 0.500
3 Be 0.000 0.500 0.000
4 Be 0.500 0.000 0.000
5 Na 0.000 0.000 0.500

---

[12]
VASP calculation (PBEsol) on LiTa2Ir after structural relaxation.

Calculated values
Magnetic moment = 0.00 Bohr magnetons per cell
Formation energy from the elements = -0.028 eV per atom
SG = Immm

a = 3.459 Å, b = 4.303 Å, c = 4.999 Å
α = 115.50°, β = 110.24°, γ = 90.00°
Fractional coordinates of all 4 atoms:
1 Ir 0.500 0.000 0.000
2 Li 0.000 0.500 0.000
3 Ta 0.764 0.764 0.528
4 Ta 0.236 0.236 0.472

---

[13]
VASP calculation (PBEsol) on Cu2P7 after structural relaxation.

Calculated values
Magnetic moment = 0.00 Bohr magnetons per cell
Formation energy from the elements = -0.108 eV per atom
SG = C2/m

a = 7.201 Å, b = 7.226 Å, c = 14.411 Å
α = 75.96°, β = 75.53°, γ = 60.11°
Fractional coordinates of all 36 atoms:
1 Cu 0.034 0.285 0.647
2 Cu 0.966 0.715 0.353
3 Cu 0.156 0.655 0.033
4 Cu 0.844 0.345 0.967
5 Cu 0.384 0.438 0.794
6 Cu 0.616 0.562 0.206
7 Cu 0.283 0.009 0.426
8 Cu 0.717 0.991 0.574
9 P 0.223 0.962 0.592
10 P 0.777 0.038 0.408
11 P 0.103 0.591 0.203
12 P 0.897 0.409 0.797
13 P 0.345 0.353 0.957
14 P 0.655 0.647 0.043
15 P 0.472 0.703 0.353
16 P 0.528 0.297 0.647
17 P 0.830 0.834 0.981
18 P 0.644 0.166 0.019
19 P 0.170 0.166 0.019
20 P 0.356 0.834 0.981
21 P 0.234 0.458 0.579
22 P 0.271 0.542 0.421
23 P 0.766 0.542 0.421
24 P 0.729 0.458 0.579
25 P 0.775 0.938 0.828
26 P 0.541 0.062 0.172
27 P 0.225 0.062 0.172
28 P 0.459 0.938 0.828
29 P 0.030 0.634 0.777
30 P 0.441 0.366 0.223
31 P 0.970 0.366 0.223
32 P 0.559 0.634 0.777
33 P 0.039 0.781 0.623
34 P 0.443 0.219 0.377
35 P 0.961 0.219 0.377
36 P 0.557 0.781 0.623

---

[14]
VASP calculation (PBEsol) on LiMnFe2 after structural relaxation.

Calculated values
Polymorph energy (0 for the lowest one) = 0.32 eV per formula unit
Magnetic moment = 1.60 Bohr magnetons per cell
Formation energy from the elements = 0.294 eV per atom
SG = Pmmm

a = 2.445 Å, b = 3.550 Å, c = 4.895 Å
α = 90.00°, β = 90.00°, γ = 90.00°
Each line ends with the local moment (μB).
Fractional coordinates of all 4 atoms:
1 Fe 0.000 0.000 0.751  1.76
2 Fe 0.000 0.000 0.249  1.76
3 Li 0.500 0.500 0.000  -0.02
4 Mn 0.500 0.500 0.500  -1.85

---

[15]
VASP calculation (PBEsol) on CrP4O12 after structural relaxation.

Calculated values
E_form (uncorrected) = -2.004 eV/atom
Polymorph energy (0 for the lowest one) = 0.03 eV per formula unit
Magnetic moment = 4.00 Bohr magnetons per cell
SG = P2_1

a = 5.072 Å, b = 7.360 Å, c = 13.353 Å
α = 90.00°, β = 90.00°, γ = 101.40°
Each line ends with the local moment (μB).
Fractional coordinates of all 34 atoms:
1 Cr 0.003 0.506 0.769  2.00
2 Cr 0.997 0.494 0.269  2.00
3 P 0.377 0.901 0.820  0.00
4 P 0.623 0.099 0.320  0.00
5 P 0.472 0.432 0.405  0.01
6 P 0.528 0.568 0.905  0.01
7 P 0.524 0.559 0.132  0.01
8 P 0.476 0.441 0.632  0.01
9 P 0.722 0.134 0.676  0.01
10 P 0.278 0.866 0.176  0.01
11 O 0.197 0.478 0.390  -0.01
12 O 0.803 0.522 0.890  -0.01
13 O 0.461 0.227 0.652  0.00
14 O 0.539 0.773 0.152  0.00
15 O 0.582 0.945 0.727  -0.01
16 O 0.418 0.055 0.227  -0.01
17 O 0.545 0.783 0.891  0.01
18 O 0.455 0.217 0.391  0.01
19 O 0.553 0.472 0.518  0.00
20 O 0.447 0.528 0.018  0.00
21 O 0.679 0.935 0.371  -0.02
22 O 0.321 0.065 0.871  -0.02
23 O 0.698 0.542 0.344  0.02
24 O 0.302 0.458 0.844  0.02
25 O 0.706 0.556 0.690  0.02
26 O 0.294 0.444 0.190  0.02
27 O 0.796 0.509 0.147  -0.01
28 O 0.204 0.491 0.647  -0.01
29 O 0.856 0.242 0.275  -0.02
30 O 0.144 0.758 0.775  -0.02
31 O 0.871 0.256 0.761  -0.04
32 O 0.129 0.744 0.261  -0.04
33 O 0.876 0.108 0.586  -0.04
34 O 0.124 0.892 0.086  -0.04

---

[16]
VASP calculation (PBEsol) on SiAsPCl2 after structural relaxation.

Calculated values
E_form (uncorrected) = 0.555 eV/atom
Magnetic moment = 0.00 Bohr magnetons per cell
SG = P4/mmm

a = 4.717 Å, b = 4.717 Å, c = 5.022 Å
α = 90.00°, β = 90.00°, γ = 90.00°
Fractional coordinates of all 5 atoms:
1 P 0.000 0.000 0.500
2 As 0.000 0.000 0.000
3 Si 0.500 0.500 0.500
4 Cl 0.000 0.500 0.000
5 Cl 0.500 0.000 0.000

---

[17]
VASP calculation (PBEsol) on Sc2AsSe after structural relaxation.

Calculated values
E_form (uncorrected) = -1.071 eV/atom
Polymorph energy (0 for the lowest one) = 2.10 eV per formula unit
Magnetic moment = 0.00 Bohr magnetons per cell
SG = I-42d

a = 5.988 Å, b = 5.988 Å, c = 7.357 Å
α = 114.01°, β = 114.01°, γ = 90.00°
Fractional coordinates of all 8 atoms:
1 Sc 0.381 0.875 0.250
2 Sc 0.869 0.375 0.250
3 Sc 0.125 0.131 0.750
4 Sc 0.625 0.619 0.750
5 As 0.750 0.250 0.500
6 As 0.500 0.500 0.000
7 Se 0.250 0.750 0.500
8 Se 0.000 0.000 0.000

---

[18]
VASP calculation (PBEsol) on CaTePI2 after structural relaxation.

Calculated values
E_form (uncorrected) = -0.358 eV/atom
Magnetic moment = 0.00 Bohr magnetons per cell
SG = P4/mmm

a = 5.415 Å, b = 5.415 Å, c = 5.347 Å
α = 90.00°, β = 90.00°, γ = 90.00°
Fractional coordinates of all 5 atoms:
1 I 0.000 0.500 0.000
2 I 0.500 0.000 0.000
3 P 0.000 0.000 0.000
4 Ca 0.500 0.500 0.500
5 Te 0.000 0.000 0.500

---

[19]
VASP calculation (PBEsol) on RbYAs2 after structural relaxation.

Calculated values
Magnetic moment = 0.00 Bohr magnetons per cell
Formation energy from the elements = -0.419 eV per atom
SG = I-42d

a = 5.810 Å, b = 5.810 Å, c = 9.909 Å
α = 107.05°, β = 107.05°, γ = 90.00°
Fractional coordinates of all 8 atoms:
1 Y 0.250 0.750 0.500
2 Y 0.000 0.000 0.000
3 As 0.187 0.875 0.250
4 As 0.063 0.375 0.250
5 As 0.125 0.937 0.750
6 As 0.625 0.813 0.750
7 Rb 0.750 0.250 0.500
8 Rb 0.500 0.500 0.000

---

[20]
VASP calculation (PBEsol) on K2HSO after structural relaxation.

Calculated values
Magnetic moment = 0.06 Bohr magnetons per cell
E = -3.525 eV/atom
SG = P4/mmm

a = 3.681 Å, b = 5.333 Å, c = 5.333 Å
α = 90.00°, β = 90.00°, γ = 90.00°
Fractional coordinates of all 5 atoms:
1 H 0.500 0.500 0.500
2 K 0.000 0.000 0.500
3 K 0.000 0.500 0.000
4 S 0.500 0.000 0.000
5 O 0.000 0.000 0.000

---

[21]
VASP calculation (PBEsol) on OsRuPt after structural relaxation.

Calculated values
Polymorph energy (0 for the lowest one) = 0.07 eV per formula unit
Magnetic moment = 0.00 Bohr magnetons per cell
Formation energy from the elements = 0.047 eV per atom
SG = Imm2

a = 2.707 Å, b = 3.804 Å, c = 4.709 Å
α = 113.83°, β = 106.71°, γ = 90.00°
Fractional coordinates of all 3 atoms:
1 Ru 0.342 0.342 0.683
2 Os 0.992 0.992 0.984
3 Pt 0.666 0.666 0.333

---

[22]
VASP calculation (PBEsol) on CaSi2NiO6 after structural relaxation.

Calculated values
E_form (uncorrected) = -2.471 eV/atom
Magnetic moment = 4.04 Bohr magnetons per cell
SG = C2/c

a = 5.223 Å, b = 6.576 Å, c = 6.576 Å
α = 84.30°, β = 78.22°, γ = 78.22°
Each line ends with the local moment (μB).
Fractional coordinates of all 20 atoms:
1 Ca 0.250 0.296 0.704  0.00
2 Ca 0.750 0.704 0.296  0.00
3 Si 0.725 0.619 0.807  0.01
4 Si 0.775 0.193 0.381  0.01
5 Si 0.225 0.807 0.619  0.01
6 Si 0.275 0.381 0.193  0.01
7 Ni 0.750 0.090 0.910  1.61
8 Ni 0.250 0.910 0.090  1.61
9 O 0.490 0.627 0.666  0.00
10 O 0.010 0.334 0.373  0.00
11 O 0.510 0.373 0.334  0.00
12 O 0.990 0.666 0.627  0.00
13 O 0.820 0.386 0.895  0.06
14 O 0.680 0.105 0.614  0.06
15 O 0.180 0.614 0.105  0.06
16 O 0.320 0.895 0.386  0.06
17 O 0.141 0.972 0.799  0.10
18 O 0.359 0.201 0.028  0.10
19 O 0.641 0.799 0.972  0.10
20 O 0.859 0.028 0.201  0.10

---

[23]
VASP calculation (PBEsol) on BaCaHg2 after structural relaxation.

Calculated values
Magnetic moment = 0.00 Bohr magnetons per cell
Formation energy from the elements = -0.530 eV per atom
SG = P4/mmm

a = 3.909 Å, b = 5.557 Å, c = 5.557 Å
α = 90.00°, β = 90.00°, γ = 90.00°
Fractional coordinates of all 4 atoms:
1 Ca 0.500 0.500 0.500
2 Hg 0.000 0.000 0.500
3 Hg 0.000 0.500 0.000
4 Ba 0.500 0.000 0.000